*i*
# TlPt4

A relaxed TlPt4 crystal (PBE, Alexandria via LeMat-Bulk).

Summary:
Calculated volume   108.4 Å³ per cell
SG   No. 229
M_tot   0.0 μB/f.u.

```
TlPt4
1.0
-3.004 3.004 3.004
3.004 -3.004 3.004
3.004 3.004 -3.004
Tl Pt
1 4
direct
0.000 0.000 0.000
0.000 0.500 0.000
0.500 0.500 0.500
0.500 0.000 0.000
0.000 0.000 0.500
```

***

*ii*
# TlPt4

A relaxed TlPt4 crystal (PBE, Alexandria via LeMat-Bulk).

Summary:
Calculated volume   171.8 Å³ per cell
SG   No. 74
M_tot   0.0 μB/f.u.

```
TlPt4
1.0
4.113 0.000 -1.201
-0.636 5.227 -2.176
0.072 0.187 7.887
Pt Tl
8 2
direct
0.306 0.318 0.613
0.104 0.354 0.208
0.694 0.205 0.387
0.694 0.682 0.387
0.306 0.795 0.613
0.896 0.646 0.792
0.500 0.500 0.000
0.500 0.000 0.000
0.105 0.855 0.211
0.895 0.145 0.789
```

***

*iii*
# TlPt4

A relaxed TlPt4 crystal (PBE, Alexandria via LeMat-Bulk).

Summary:
Calculated volume   122.8 Å³ per cell
SG   No. 221
M_tot   0.0 μB/f.u.

```
TlPt4
1.0
4.970 0.000 0.000
0.000 4.970 0.000
0.000 0.000 4.970
Pt Tl
4 1
direct
0.500 0.000 0.500
0.000 0.000 0.000
0.000 0.500 0.500
0.500 0.500 0.000
0.500 0.500 0.500
```

***

It is *ii* that is most stable; the runner-up trails by 0.838 eV/atom.